TlFeRu2: relaxed, GGA-PBEsol.

Geometry as CIF:
```
data_TlFeRu2
_cell_length_a 2.821
_cell_length_b 4.048
_cell_length_c 5.426
_cell_angle_alpha 90.00
_cell_angle_beta 102.75
_cell_angle_gamma 90.00
_symmetry_space_group_name_H-M 'P 1 2/m 1'
_symmetry_Int_Tables_number 10
_symmetry_space_group_name_Hall '-P 2y'
loop_
_atom_site_label
_atom_site_fract_x
_atom_site_fract_y
_atom_site_fract_z
Tl1 0.000 0.000 0.000
Fe1 0.000 0.000 0.500
Ru1 0.375 0.500 0.716
```

## Properties
- DFT formation energy: 0.56 eV per atom
- Crystal system: monoclinic
- ΔE to the lowest computed polymorph: 132.3 meV/atom